(1)
Entry from Alexandria: an optimized crystal structure of BaZr2Pt (PBE-GGA).

Computed properties:
* polymorph energy (0 for the lowest one): 0 meV per atom
* space group: Pm
* total energy: -26.207 eV per cell
* ΔE_f: -28 kJ/mol of atoms
* M_tot: 0.0001 μB/atom

Cell lengths 3.454, 3.449, 9.620 Å; angles 68.90, 90.00, 90.00 degrees
Sites, in units of the cell vectors:
Zr 0.000 0.037 0.963
Zr 0.500 0.315 0.184
Ba 0.000 0.459 0.541
Pt 0.500 0.689 0.812

***

(2)
Entry from Alexandria: an optimized crystal structure of EuHoEr2 (PBE-GGA).

Computed properties:
* polymorph energy (0 for the lowest one): 96 meV per atom
* space group: P4/mmm
* total energy: -23.330 eV per cell
* ΔE_f: 16 kJ/mol of atoms
* M_tot: 1.9596 μB/atom

Cell lengths 3.798, 5.858, 5.858 Å; angles 90.00, 90.00, 90.00 degrees
Last column: magnetic moment on the atom in μB.
Sites, in units of the cell vectors:
Er 0.000 0.500 0.000  0.19
Ho 0.500 0.000 0.000  0.08
Er 0.000 0.000 0.500  0.19
Eu 0.500 0.500 0.500  6.91

***

(3)
Entry from Alexandria: an optimized crystal structure of Tb6Pr2SmY3 (PBE-GGA).

Computed properties:
* space group: C2/m
* total energy: -61.244 eV per cell
* ΔE_f: 2 kJ/mol of atoms
* M_tot: 0.0000 μB/atom

Cell lengths 6.230, 6.230, 11.912 Å; angles 94.98, 94.98, 119.98 degrees
Sites, in units of the cell vectors:
Tb 0.418 0.085 0.253
Tb 0.915 0.582 0.747
Tb 0.085 0.418 0.253
Sm 0.000 0.000 0.000
Y 0.833 0.167 0.500
Pr 0.667 0.333 0.000
Tb 0.582 0.915 0.747
Pr 0.333 0.667 0.000
Tb 0.752 0.752 0.253
Y 0.500 0.500 0.500
Y 0.167 0.833 0.500
Tb 0.248 0.248 0.747

***

(4)
Entry from Alexandria: an optimized crystal structure of Pm2NdNpS4 (PBE-GGA).

Computed properties:
* space group: P2/m
* total energy: -58.612 eV per cell
* M_tot: 0.5586 μB/atom
* E_form (uncorrected): -1862 meV per atom

Cell lengths 4.006, 6.961, 6.953 Å; angles 109.33, 90.00, 90.00 degrees
Last column: magnetic moment on the atom in μB.
Sites, in units of the cell vectors:
Pm 0.500 0.000 0.500  -0.01
Np 0.500 0.500 0.000  3.98
S 0.000 0.742 0.244  -0.04
S 0.500 0.745 0.751  -0.02
S 0.500 0.255 0.249  -0.02
Nd 0.000 0.000 0.000  0.05
Pm 0.000 0.500 0.500  0.05
S 0.000 0.258 0.756  -0.04

***

no.,Fermi-level density of states (states/eV/cell)
1,4.77
2,7.46
3,16.38
4,11.40